No. 1
Entry from Alexandria: a relaxed Pr2HgGe crystal (PBE-GGA).

Computed properties:
**Total moment**: 0.0 Bohr magnetons per cell
**E_tot**: -0.153 hartree per atom

Cell: 4.4179 4.4179 22.3017 Å, 90.00 90.00 120.00°
Space group R-3m (No. 166, hexagonal axes)
Unique sites:
1 Pr 0.0000 0.0000 0.2376 x6
2 Hg 0.0000 0.0000 0.0000 x3
3 Ge 0.0000 0.0000 0.5000 x3

No. 2
Entry from Alexandria: a relaxed Pr5Hg4Ge crystal (PBE-GGA).

Computed properties:
**Total moment**: 1.5 Bohr magnetons per cell
**E_tot**: -0.128 hartree per atom

Cell: 3.8847 3.8847 18.7227 Å, 90.00 90.00 90.00°
Space group P4/mmm (No. 123)
Unique sites:
1 Pr 0.0000 0.0000 0.0000 x1
2 Pr 0.0000 0.0000 0.2063 x2
3 Pr 0.0000 0.0000 0.4126 x2
4 Hg 0.5000 0.5000 0.1029 x2
5 Hg 0.5000 0.5000 0.3071 x2
6 Ge 0.5000 0.5000 0.5000 x1

No. 3
Entry from Alexandria: a relaxed Pr2Hg3Ge2 crystal (PBE-GGA).

Computed properties:
**Total moment**: 0.0 Bohr magnetons per cell
**E_tot**: -0.120 hartree per atom

Cell: 10.8024 4.4810 7.3115 Å, 90.00 97.69 90.00°
Space group C2/m (No. 12)
Unique sites:
1 Pr 0.1208 0.0000 0.3222 x4
2 Hg 0.0000 0.5000 0.0000 x2
3 Hg 0.1921 0.0000 0.8615 x4
4 Ge 0.0947 0.5000 0.6141 x4

No. 4
Entry from Alexandria: a relaxed Pr3HgGe2 crystal (PBE-GGA).

Computed properties:
**Total moment**: 0.0 Bohr magnetons per cell
**E_tot**: -0.167 hartree per atom

Cell: 7.5576 7.5576 21.8828 Å, 90.00 90.00 120.00°
Space group R-3c (No. 167, hexagonal axes)
Unique sites:
1 Pr 0.0000 0.3040 0.2500 x18
2 Hg 0.0000 0.0000 0.0000 x6
3 Ge 0.0000 0.0000 0.1577 x12